This record from Alexandria via LeMat-Bulk describes a relaxed structure of PRuAu. The functional is GGA-PBEsol.

Values from the calculation:
Raw total energy (eV/atom): -6.321
Spin magnetization (μB per cell): 0.00

Cell lengths 5.8417, 5.8417, 5.8417 Å; angles 90.00, 90.00, 90.00 degrees
Space group F-43m (No. 216)
One atom of each set of equivalent atoms:
P 0.0000 0.0000 0.0000 x4
Ru 0.2500 0.2500 0.7500 x4
Au 0.0000 0.0000 0.5000 x4